A) Density functional theory data (PBE) for a relaxed K4MgCu3F12 crystal.

a b c (Å): 9.1049 9.1049 4.0747
angles (deg): 90.00 90.00 127.04
Each line ends with the local moment (μB).
Element x y z (fractional)
Cu (0.7510, 0.2490, 0.0000)  0.57
Cu (0.5000, 0.5000, 0.0000)  0.65
Cu (0.2490, 0.7510, 0.0000)  0.57
K (0.6218, 0.8736, 0.5000)  0.00
K (0.1264, 0.3782, 0.5000)  0.00
K (0.3782, 0.1264, 0.5000)  0.00
K (0.8736, 0.6218, 0.5000)  0.00
F (0.6271, 0.3729, 0.0000)  0.08
F (0.7509, 0.2491, 0.5000)  0.05
F (0.5000, 0.0000, 0.0000)  0.06
F (0.7500, 0.7500, 0.0000)  0.04
F (0.3729, 0.6271, 0.0000)  0.08
F (0.1233, 0.8767, 0.0000)  0.04
F (0.0000, 0.5000, 0.0000)  0.06
F (0.0000, 0.0000, 0.5000)  0.00
F (0.8767, 0.1233, 0.0000)  0.04
F (0.5000, 0.5000, 0.5000)  0.06
F (0.2491, 0.7509, 0.5000)  0.05
F (0.2500, 0.2500, 0.0000)  0.04
Mg (0.0000, 0.0000, 0.0000)  0.00

The crystal system is orthorhombic. As for the density of states at the Fermi level: 6.283 states/eV per cell. The magnetization comes out at 2.412 μB per formula unit. As for the symmetry: Cmmm.

***

B) Density functional theory data (PBE) for a relaxed K4MgCu3F12 crystal.

a b c (Å): 5.7412 5.7412 8.2053
angles (deg): 90.00 90.00 90.05
Each line ends with the local moment (μB).
Element x y z (fractional)
F (0.0000, 0.0000, 0.7457)  0.04
F (0.7505, 0.2495, 0.5000)  0.04
F (0.7517, 0.7517, 0.0000)  0.08
F (0.2495, 0.7505, 0.5000)  0.04
F (0.7503, 0.7503, 0.5000)  0.04
F (0.2497, 0.2497, 0.5000)  0.04
F (0.2483, 0.2483, 0.0000)  0.08
F (0.5000, 0.5000, 0.2434)  0.08
F (0.5000, 0.5000, 0.7566)  0.08
F (0.7503, 0.2497, 0.0000)  0.08
F (0.0000, 0.0000, 0.2543)  0.04
F (0.2497, 0.7503, 0.0000)  0.08
K (0.0000, 0.5000, 0.2475)  0.00
K (0.5000, 0.0000, 0.2475)  0.00
K (0.0000, 0.5000, 0.7525)  0.00
K (0.5000, 0.0000, 0.7525)  0.00
Cu (0.0000, 0.0000, 0.0000)  0.69
Cu (0.5000, 0.5000, 0.0000)  0.70
Cu (0.5000, 0.5000, 0.5000)  0.72
Mg (0.0000, 0.0000, 0.5000)  0.00

The crystal system is orthorhombic. As for the density of states at the Fermi level: 7.100 states/eV per cell. The magnetization comes out at 2.854 μB per formula unit. As for the symmetry: Cmmm.

***

How do the energies compare? Relative to the most stable structure, in meV/atom: A) 0; B) 7.

***

A) Density functional theory data (PBE) for a relaxed K3MgCu2F9 crystal.

a b c (Å): 5.7557 5.7557 7.0440
angles (deg): 90.00 90.00 120.00
Each line ends with the local moment (μB).
Element x y z (fractional)
Mg (0.0000, 0.0000, 0.5000)  0.00
F (0.5000, 0.0000, 0.0000)  0.10
F (0.1647, 0.3295, 0.3348)  0.04
F (0.1647, 0.8353, 0.3348)  0.04
F (0.0000, 0.5000, 0.0000)  0.10
F (0.6705, 0.8353, 0.3348)  0.04
F (0.8353, 0.1647, 0.6652)  0.04
F (0.3295, 0.1647, 0.6652)  0.04
F (0.5000, 0.5000, 0.0000)  0.10
F (0.8353, 0.6705, 0.6652)  0.04
K (0.3333, 0.6667, 0.6671)  0.00
K (0.6667, 0.3333, 0.3329)  0.00
K (0.0000, 0.0000, 0.0000)  0.00
Cu (0.6667, 0.3333, 0.8325)  0.75
Cu (0.3333, 0.6667, 0.1675)  0.75

The crystal system is trigonal. As for the density of states at the Fermi level: 1.546 states/eV per cell. The magnetization comes out at 2.026 μB per formula unit. As for the symmetry: P-3m1.

***

B) Density functional theory data (PBE) for a relaxed K3MgCu2F9 crystal.

a b c (Å): 4.0602 4.0602 12.2350
angles (deg): 90.00 90.00 90.00
Each line ends with the local moment (μB).
Element x y z (fractional)
F (0.0000, 0.5000, 0.3338)  0.06
F (0.5000, 0.5000, 0.1648)  0.03
F (0.5000, 0.0000, 0.0000)  0.00
F (0.0000, 0.5000, 0.0000)  0.00
F (0.5000, 0.5000, 0.8352)  0.03
F (0.5000, 0.0000, 0.3338)  0.06
F (0.5000, 0.5000, 0.5000)  0.09
F (0.0000, 0.5000, 0.6662)  0.06
F (0.5000, 0.0000, 0.6662)  0.06
K (0.0000, 0.0000, 0.1677)  0.00
K (0.0000, 0.0000, 0.8323)  0.00
K (0.0000, 0.0000, 0.5000)  0.00
Cu (0.5000, 0.5000, 0.6669)  0.60
Cu (0.5000, 0.5000, 0.3331)  0.60
Mg (0.5000, 0.5000, 0.0000)  0.00

The crystal system is tetragonal. As for the density of states at the Fermi level: 3.630 states/eV per cell. The magnetization comes out at 1.621 μB per formula unit. As for the symmetry: P4/mmm.

***

How do the energies compare? Relative to the most stable structure, in meV/atom: A) 8; B) 0.

***

A) Density functional theory data (PBE) for a relaxed KCuN2F crystal.

a b c (Å): 5.2062 5.2062 4.6670
angles (deg): 90.00 90.00 90.00
Each line ends with the local moment (μB).
Element x y z (fractional)
N (0.5000, 0.0000, 0.0000)  1.72
N (0.0000, 0.5000, 0.0000)  1.72
K (0.0000, 0.0000, 0.0000)  0.06
Cu (0.5000, 0.5000, 0.5000)  0.00
F (0.0000, 0.0000, 0.5000)  0.05

The crystal system is tetragonal. As for the density of states at the Fermi level: 0.379 states/eV per cell. The magnetization comes out at 4.999 μB per formula unit. As for the symmetry: P4/mmm.

***

B) Density functional theory data (PBE) for a relaxed KCuN2F crystal.

a b c (Å): 3.6875 5.3337 3.6875
angles (deg): 90.00 90.00 90.00
Each line ends with the local moment (μB).
Element x y z (fractional)
K (0.5000, 0.5000, 0.5000)  0.00
F (0.0000, 0.5000, 0.0000)  0.07
Cu (0.0000, 0.0000, 0.0000)  0.23
N (0.5000, 0.0000, 0.0000)  0.78
N (0.0000, 0.0000, 0.5000)  0.58

The crystal system is tetragonal. As for the density of states at the Fermi level: 2.456 states/eV per cell. The magnetization comes out at 2.229 μB per formula unit. As for the symmetry: P4/mmm.

***

How do the energies compare? Relative to the most stable structure, in meV/atom: A) 1368; B) 0.

***

A) Density functional theory data (PBE) for a relaxed KCuNF2 crystal.

a b c (Å): 4.3484 4.3484 3.7118
angles (deg): 90.00 90.00 90.00
Each line ends with the local moment (μB).
Element x y z (fractional)
K (0.5000, 0.5000, 0.5000)  0.01
F (0.5000, 0.0000, 0.0000)  0.07
F (0.0000, 0.5000, 0.0000)  0.07
N (0.0000, 0.0000, 0.5000)  1.12
Cu (0.0000, 0.0000, 0.0000)  0.35

The crystal system is tetragonal. As for the density of states at the Fermi level: 0.801 states/eV per cell. The magnetization comes out at 2.152 μB per formula unit. As for the symmetry: P4/mmm.

***

B) Density functional theory data (PBE) for a relaxed KCuNF2 crystal.

a b c (Å): 4.8290 4.8290 4.9595
angles (deg): 90.00 90.00 90.00
Each line ends with the local moment (μB).
Element x y z (fractional)
N (0.0000, 0.0000, 0.5000)  1.83
Cu (0.5000, 0.5000, 0.5000)  0.17
F (0.5000, 0.0000, 0.0000)  0.12
F (0.0000, 0.5000, 0.0000)  0.12
K (0.0000, 0.0000, 0.0000)  0.04

The crystal system is tetragonal. The magnetization comes out at 3.182 μB per formula unit. As for the symmetry: P4/mmm.

***

How do the energies compare? Relative to the most stable structure, in meV/atom: A) 0; B) 1257.

***

A) Density functional theory data (PBE) for a relaxed K2ScCuF6 crystal.

a b c (Å): 6.3321 6.3325 7.9863
angles (deg): 90.00 90.00 90.00
Each line ends with the local moment (μB).
Element x y z (fractional)
F (0.0000, 0.7500, 0.7440)  0.00
F (0.0000, 0.7500, 0.2560)  0.00
F (0.2746, 0.4757, 0.5000)  0.00
F (0.7744, 0.9753, 0.0000)  0.00
F (0.5000, 0.2500, 0.2440)  0.00
F (0.5000, 0.2500, 0.7560)  0.00
F (0.2254, 0.5243, 0.0000)  0.00
F (0.7746, 0.5243, 0.0000)  0.00
F (0.2256, 0.9753, 0.0000)  0.00
F (0.7256, 0.0247, 0.5000)  0.00
F (0.2744, 0.0247, 0.5000)  0.00
F (0.7254, 0.4757, 0.5000)  0.00
Sc (0.5000, 0.2502, 0.5000)  0.00
Sc (0.0000, 0.7498, 0.0000)  0.00
K (0.5000, 0.7500, 0.2500)  0.00
K (0.0000, 0.2500, 0.7500)  0.00
K (0.0000, 0.2500, 0.2500)  0.00
K (0.5000, 0.7500, 0.7500)  0.00
Cu (0.5000, 0.2499, 0.0000)  0.06
Cu (0.0000, 0.7501, 0.5000)  0.06

The crystal system is tetragonal. The magnetization comes out at 0.061 μB per formula unit. As for the symmetry: I4/mmm.

***

B) Density functional theory data (PBE) for a relaxed K2ScCuF6 crystal.

a b c (Å): 6.0296 6.0296 6.0296
angles (deg): 60.00 60.00 60.00
Each line ends with the local moment (μB).
Element x y z (fractional)
F (0.2382, 0.7618, 0.2382)  0.00
F (0.7618, 0.7618, 0.2382)  0.00
F (0.2382, 0.2382, 0.7618)  0.00
F (0.7618, 0.2382, 0.2382)  0.00
F (0.7618, 0.2382, 0.7618)  0.00
F (0.2382, 0.7618, 0.7618)  0.00
Cu (0.5000, 0.5000, 0.5000)  0.10
K (0.2500, 0.2500, 0.2500)  0.00
K (0.7500, 0.7500, 0.7500)  0.00
Sc (0.0000, 0.0000, 0.0000)  0.00

The crystal system is cubic. The magnetization comes out at 0.104 μB per formula unit. As for the symmetry: Fm-3m.

***

How do the energies compare? Relative to the most stable structure, in meV/atom: A) 0; B) 7.